1.
# AcPmSm2Er4

Crystalline AcPmSm2Er4 at its relaxed geometry (GGA-PBE, the Alexandria database).

Cell lengths 9.628, 9.628, 11.937 Å; angles 128.31, 128.31, 88.51 degrees
Fractional positions:
Er  0.737  0.238  0.988
Er  0.262  0.763  0.512
Sm  0.500  0.500  0.000
Sm  0.000  0.000  0.500
Ac  0.000  0.500  0.500
Er  0.742  0.758  0.001
Sm  0.500  0.000  0.500
Er  0.738  0.237  0.488
Er  0.258  0.242  0.501
Ac  0.000  0.500  0.000
Er  0.263  0.762  0.012
Pm  0.500  0.500  0.500
Er  0.258  0.242  0.999
Pm  0.000  0.000  0.000
Er  0.742  0.758  0.499
Sm  0.500  0.000  0.000

- DOS(E_F): 2.333 states/eV per atom
- Energy relative to the elements: 0.437 eV/atom

=====

2.
# Nd8CdAu2

Crystalline Nd8CdAu2 at its relaxed geometry (GGA-PBE, the Alexandria database).

Cell lengths 5.264, 7.254, 9.742 Å; angles 106.77, 105.68, 90.00 degrees
Fractional positions:
Nd  0.328  0.018  0.657
Au  0.819  0.272  0.639
Nd  0.409  0.530  0.817
Cd  0.500  0.000  0.000
Nd  0.591  0.470  0.183
Nd  0.672  0.982  0.343
Nd  0.804  0.670  0.609
Nd  0.027  0.765  0.054
Nd  0.196  0.330  0.391
Nd  0.973  0.235  0.946
Au  0.181  0.728  0.361

- DOS(E_F): 1.031 states/eV per atom
- Energy relative to the elements: -0.318 eV/atom

=====

Asked for E_tot across the records above, the calculation gives -66.1; -49.1 eV/cell in order.
Asked for M_tot across the records above, the calculation gives 1.8; 0.0 μB/f.u. in order.